DFT (PBE) results for a relaxed structure of Sr5In4Sn.

a = 4.076 Å, b = 4.076 Å, c = 20.279 Å
α = 90.00°, β = 90.00°, γ = 90.00°
Space group P4/mmm (No. 123)
Unique sites:
Sr  0.000  0.000  0.000 [1 per cell]
Sr  0.000  0.000  0.200 [2 per cell]
Sr  0.000  0.000  0.400 [2 per cell]
In  0.500  0.500  0.102 [2 per cell]
In  0.500  0.500  0.296 [2 per cell]
Sn  0.500  0.500  0.500 [1 per cell]

Computed properties:
magnetization = 0.00 μB per atom
N(E_F) = 6.56 states/eV/f.u.
DFT formation energy = -460 meV per atom